The following is a GGA-PBE calculation of a relaxed Mg2TcAs crystal, from Alexandria via LeMat-Bulk.

Output
Formation energy from the elements: 0.04 eV per atom
Total magnetization: 0.0 Bohr magnetons per cell
D(E_F): 0.908 states/eV per atom
Energy: -18.0 eV for the cell shown

abc: 3.5119 3.5734 5.3761
angles: 90.00 90.00 90.00
With the nearest neighbours (Å) after each atom.
Space group Pmmm (No. 47)
Inequivalent atoms, fractional coordinates:
1 Mg 0.0000 0.0000 0.2414 x2  2 Mg 2.60-2.78, 4 Tc 2.82, 4 As 2.87
2 Tc 0.5000 0.5000 0.0000 x1  2 As 2.69, 8 Mg 2.82
3 As 0.5000 0.5000 0.5000 x1  2 Tc 2.69, 8 Mg 2.87

---

The following is a GGA-PBE calculation of a relaxed MgTc2As crystal, from Alexandria via LeMat-Bulk.

Output
Polymorph energy (0 for the lowest one): 132 meV per atom
Formation energy from the elements: 0.10 eV per atom
Total magnetization: 0.0 Bohr magnetons per cell
D(E_F): 0.847 states/eV per atom
Energy: -53.1 eV for the cell shown

abc: 3.0967 4.6245 8.7709
angles: 90.00 90.00 90.00
With the nearest neighbours (Å) after each atom.
Space group Immm (No. 71)
Inequivalent atoms, fractional coordinates:
1 Mg 0.0000 0.0000 0.0000 x2  4 As 2.78, 8 Tc 2.91-3.01, 2 Mg 3.10
2 Tc 0.0000 0.5000 0.2189 x4  2 As 2.47
3 As 0.0000 0.0000 0.5000 x2  4 Tc 2.47

---

The following is a GGA-PBE calculation of a relaxed MgTc2As crystal, from Alexandria via LeMat-Bulk.

Output
Polymorph energy (0 for the lowest one): 281 meV per atom
Formation energy from the elements: 0.25 eV per atom
Total magnetization: 0.0 Bohr magnetons per cell
D(E_F): 1.000 states/eV per atom
Energy: -26.0 eV for the cell shown

abc: 3.2880 4.2728 4.4321
angles: 90.00 90.00 90.00
With the nearest neighbours (Å) after each atom.
Space group Pmmm (No. 47)
Inequivalent atoms, fractional coordinates:
1 Mg 0.0000 0.0000 0.0000 x1  4 As 2.70, 4 Tc 2.76
2 Tc 0.0000 0.5000 0.5000 x1  4 Tc 2.70, 4 As 2.76
3 Tc 0.5000 0.0000 0.5000 x1  4 Tc 2.70, 4 Mg 2.76
4 As 0.5000 0.5000 0.0000 x1  4 Mg 2.70, 4 Tc 2.76

---

The following is a GGA-PBE calculation of a relaxed Mg2TcAs crystal, from Alexandria via LeMat-Bulk.

Output
Formation energy from the elements: 0.13 eV per atom
Total magnetization: 2.3 Bohr magnetons per cell
D(E_F): 0.451 states/eV per atom
Energy: -53.1 eV for the cell shown

abc: 3.0141 3.0141 26.7713
angles: 90.00 90.00 120.00
With the nearest neighbours (Å) after each atom.
Space group R-3m (No. 166, hexagonal axes)
Inequivalent atoms, fractional coordinates:
1 Mg 0.0000 0.0000 0.2476 x6  3 Tc 2.78, 3 As 2.88, 6 Mg 3.01
2 Tc 0.0000 0.0000 0.5000 x3  6 Mg 2.78, 6 Tc 3.01
3 As 0.0000 0.0000 0.0000 x3  6 Mg 2.88, 6 As 3.01

---

The following is a GGA-PBE calculation of a relaxed MgTc2As crystal, from Alexandria via LeMat-Bulk.

Output
Polymorph energy (0 for the lowest one): 213 meV per atom
Formation energy from the elements: 0.18 eV per atom
Total magnetization: 0.0 Bohr magnetons per cell
D(E_F): 1.116 states/eV per atom
Energy: -105.0 eV for the cell shown

abc: 6.1692 6.1692 6.1692
angles: 90.00 90.00 90.00
With the nearest neighbours (Å) after each atom.
Space group Fm-3m (No. 225)
Inequivalent atoms, fractional coordinates:
1 Mg 0.0000 0.0000 0.0000 x4  8 Tc 2.67
2 Tc 0.2500 0.2500 0.2500 x8  4 As 2.67, 4 Mg 2.67
3 As 0.0000 0.0000 0.5000 x4  8 Tc 2.67

---

The following is a GGA-PBE calculation of a relaxed MgTcAs2 crystal, from Alexandria via LeMat-Bulk.

Output
Formation energy from the elements: -0.18 eV per atom
Total magnetization: 0.0 Bohr magnetons per cell
D(E_F): 0.541 states/eV per atom
Energy: -22.0 eV for the cell shown

abc: 3.1152 3.1152 6.9836
angles: 90.00 90.00 90.00
With the nearest neighbours (Å) after each atom.
Space group P4/mmm (No. 123)
Inequivalent atoms, fractional coordinates:
1 Mg 0.0000 0.0000 0.0000 x1  8 As 2.97, 4 Mg 3.12
2 Tc 0.0000 0.0000 0.5000 x1  8 As 2.67
3 As 0.5000 0.5000 0.2843 x2  4 Tc 2.67, 4 Mg 2.97